Entry from the Alexandria database: a relaxed structure of Cs2BrCl2 (PBE-GGA).

Calculated values
Final energy: -2.815 eV per atom
Raw formation energy: -1400 meV/atom
E above lowest polymorph: 0.00 eV/f.u.
Space-group type: P4/mbm

POSCAR file:
```
Cs2BrCl2
1.0
9.271 0.000 0.000
0.000 9.271 0.000
0.000 0.000 4.579
Cs Br Cl
4 2 4
direct
0.159 0.341 0.000
0.341 0.841 0.000
0.659 0.159 0.000
0.841 0.659 0.000
0.000 0.000 0.500
0.500 0.500 0.500
0.148 0.648 0.500
0.352 0.148 0.500
0.648 0.852 0.500
0.852 0.352 0.500
```